BaBiH2 | PBE-GGA | relaxed

Unit cell a=4.8641 b=4.8641 c=4.8641 alpha=60.00 beta=60.00 gamma=60.00
Last column: nearest neighbours and their distance in Å.
Fractional positions:
H: 0.2500 0.2500 0.2500  4 Bi 2.98, 4 Ba 2.98
H: 0.7500 0.7500 0.7500  4 Ba 2.98, 4 Bi 2.98
Bi: 0.5000 0.5000 0.5000  8 H 2.98
Ba: 0.0000 0.0000 0.0000  8 H 2.98

Output
Spin magnetization   0.0 μB per cell
Crystal system   cubic
E above lowest polymorph   0.313 eV/atom
DOS at the Fermi energy   2.3 states/eV per cell